Record 1
A relaxed structure of DyTm6Pt2. Source: the Alexandria database, functional PBE.

abc: 8.114 8.114 10.734
angles: 128.29 128.29 26.19
Fractional coordinates of all 9 atoms:
Dy: 0.000 0.000 0.000
Tm: 0.027 0.027 0.691
Tm: 0.279 0.279 0.386
Tm: 0.306 0.306 0.946
Tm: 0.694 0.694 0.054
Tm: 0.721 0.721 0.614
Tm: 0.973 0.973 0.309
Pt: 0.404 0.404 0.730
Pt: 0.596 0.596 0.270

Results
total moment	0.00	Bohr magnetons per cell
energy	-5.424	eV per atom
space group	C2/m, No. 12
calculated formation energy	-0.5891	eV/atom



Record 2
A relaxed structure of Ba2Cd2Te. Source: the Alexandria database, functional PBE.

abc: 9.337 9.337 5.064
angles: 90.00 90.00 90.00
Fractional coordinates of all 10 atoms:
Ba: 0.187 0.313 0.000
Ba: 0.313 0.813 0.000
Ba: 0.687 0.187 0.000
Ba: 0.813 0.687 0.000
Cd: 0.111 0.611 0.500
Cd: 0.389 0.111 0.500
Cd: 0.611 0.889 0.500
Cd: 0.889 0.389 0.500
Te: 0.000 0.000 0.000
Te: 0.500 0.500 0.000

Results
total moment	0.00	Bohr magnetons per cell
energy	-2.304	eV per atom
space group	P4/mbm, No. 127
energy relative to the lowest polymorph listed for this composition	0.035	eV/atom



Computed D(E_F), in the same sequence as the records: 10.76; 2.13 states/eV/f.u..